Pm3MgCo3, relaxed, DFT PBE; Fermi-level density of states = 5.8 states/eV/f.u.; symmetry = Cmcm, No. 63; ΔH_f (0 K) = -0.095 eV per atom; calculated density = 7.18 g/cm³
1.0
-0.459 3.245 -2.776
1.662 -4.671 -2.412
-12.862 -3.538 -2.011
Co Mg Pm
6 2 6
Direct
0.096 0.192 0.103
0.904 0.808 0.603
0.096 0.192 0.397
0.207 0.414 0.250
0.793 0.586 0.750
0.904 0.808 0.897
0.500 0.000 0.000
0.500 0.000 0.500
0.490 0.981 0.750
0.799 0.599 0.396
0.201 0.401 0.604
0.799 0.599 0.104
0.201 0.401 0.896
0.510 0.019 0.250

---

Pm3MgCo, relaxed, DFT PBE; E above lowest polymorph = 53 meV/atom; Fermi-level density of states = 5.6 states/eV/f.u.; symmetry = Pm-3m, No. 221; ΔH_f (0 K) = 0.003 eV per atom; calculated density = 5.68 g/cm³
1.0
-1.583 1.308 4.921
-5.038 0.342 -1.712
-0.736 -5.158 1.135
Pm Mg Co
3 1 1
Direct
0.000 0.500 0.000
0.500 0.000 0.000
0.000 0.000 0.500
0.500 0.500 0.500
0.000 0.000 0.000

---

PmMg2Co9, relaxed, DFT PBE; Fermi-level density of states = 13.9 states/eV/f.u.; symmetry = R-3m, No. 166; ΔH_f (0 K) = -0.048 eV per atom; calculated density = 7.30 g/cm³
1.0
4.718 0.000 1.404
2.150 4.199 1.404
0.083 0.051 8.349
Co Mg Pm
9 2 1
Direct
0.077 0.589 0.745
0.500 0.500 0.500
0.589 0.589 0.745
0.664 0.664 0.009
0.411 0.923 0.255
0.411 0.411 0.255
0.589 0.077 0.745
0.336 0.336 0.991
0.923 0.411 0.255
0.856 0.856 0.431
0.144 0.144 0.569
0.000 0.000 0.000

---

PmMgCo, relaxed, DFT PBE; E above lowest polymorph = 243 meV/atom; Fermi-level density of states = 1.6 states/eV/f.u.; symmetry = P-6m2, No. 187; ΔH_f (0 K) = 0.131 eV per atom; calculated density = 5.88 g/cm³
1.0
-1.724 -2.402 -2.267
-0.004 -3.067 3.253
-3.430 2.839 -0.399
Co Pm Mg
1 1 1
Direct
0.167 0.000 0.000
0.666 0.667 0.333
0.166 0.333 0.667